NaFeSb2Rh | PBE-GGA | optimized geometry

Results
**Theoretical density**: 5.48 Mg/m³
**Electronic total energy**: -4.48 eV/atom

Cell lengths 5.054, 5.054, 5.048 Å; angles 90.00, 90.00, 90.00 degrees
Space group P4/mmm (No. 123)
Inequivalent atoms, fractional coordinates:
Na (0.000, 0.000, 0.000) (multiplicity 1)
Fe (0.500, 0.500, 0.000) (multiplicity 1)
Sb (0.000, 0.500, 0.500) (multiplicity 2)
Rh (0.000, 0.000, 0.500) (multiplicity 1)